Entry 1:
A relaxed BaAg2Pt crystal, computed with GGA-PBE.

The structure belongs to space group C2/m (No. 12); the cell edges are 8.194, 4.739 and 6.090 Å and the angles 90.00°, 116.68° and 90.00°. The inequivalent atoms are Ba at (0.000, 0.000, 0.000), Ag at (0.198, 0.000, 0.594) and Pt at (0.000, 0.500, 0.500).

The value obtained for the energy above the most stable polymorph in this dataset is 0.0392 eV/atom. As for the electronic total energy: -3.69 eV/atom.

Entry 2:
A relaxed Ba2Ag3Pt crystal, computed with GGA-PBE.

The structure belongs to space group Fmmm (No. 69); the cell edges are 8.734, 9.683 and 16.601 Å and the angles 90.00°, 90.00° and 90.00°. The inequivalent atoms are Ba at (0.242, 0.000, 0.000), Ba at (0.250, 0.250, 0.250), Ag at (0.000, 0.000, 0.331), Ag at (0.000, 0.250, 0.084) and Pt at (0.000, 0.000, 0.164).

As for the electronic total energy: -3.45 eV/atom.

Entry 3:
A relaxed BaAg2Pt crystal, computed with GGA-PBE.

The structure belongs to space group Cm (No. 8); the cell edges are 8.257, 4.760 and 6.075 Å and the angles 90.00°, 116.63° and 90.00°. The inequivalent atoms are Ba at (0.000, 0.000, 0.000), Ag at (0.193, 0.000, 0.582), Ag at (0.487, 0.000, 0.463) and Pt at (0.304, 0.500, 0.413).

The value obtained for the energy above the most stable polymorph in this dataset is 0.0000 eV/atom. As for the electronic total energy: -3.73 eV/atom.

Entry 4:
A relaxed Ba8AgPt3 crystal, computed with GGA-PBE.

The structure belongs to space group C2/m (No. 12); the cell edges are 15.837, 9.418 and 9.272 Å and the angles 90.00°, 124.21° and 90.00°. The inequivalent atoms are Ba at (0.010, 0.237, 0.249), Ba at (0.244, 0.000, 0.259), Ba at (0.247, 0.000, 0.724), Ag at (0.000, 0.500, 0.000), Pt at (0.000, 0.000, 0.000) and Pt at (0.250, 0.250, 0.500).

As for the electronic total energy: -3.55 eV/atom.

Entry 5:
A relaxed Ba8Ag2Pt crystal, computed with GGA-PBE.

The structure belongs to space group C2/m (No. 12); the cell edges are 14.378, 10.431 and 7.914 Å and the angles 90.00°, 108.47° and 90.00°. The inequivalent atoms are Ba at (0.080, 0.000, 0.275), Ba at (0.130, 0.500, 0.249), Ba at (0.143, 0.297, 0.742), Ag at (0.183, 0.000, 0.945) and Pt at (0.000, 0.500, 0.500).

The value obtained for the energy above the most stable polymorph in this dataset is 0.0000 eV/atom. As for the electronic total energy: -2.73 eV/atom.

Entry 6:
A relaxed Ba2Ag2Pt crystal, computed with GGA-PBE.

The structure belongs to space group I4/mmm (No. 139); the cell edges are 6.326, 6.326 and 8.093 Å and the angles 90.00°, 90.00° and 90.00°. The inequivalent atoms are Ba at (0.000, 0.500, 0.250), Ag at (0.000, 0.000, 0.164) and Pt at (0.000, 0.000, 0.500).

The value obtained for the energy above the most stable polymorph in this dataset is 0.2246 eV/atom. As for the electronic total energy: -3.32 eV/atom.

Entry 7:
A relaxed BaAg4Pt crystal, computed with GGA-PBE.

The structure belongs to space group C2/m (No. 12); the cell edges are 7.249, 7.248 and 7.686 Å and the angles 90.00°, 90.06° and 90.00°. The inequivalent atoms are Ba at (0.000, 0.000, 0.000), Ag at (0.000, 0.500, 0.168), Ag at (0.250, 0.250, 0.500) and Pt at (0.000, 0.500, 0.500).

The value obtained for the energy above the most stable polymorph in this dataset is 0.3927 eV/atom. As for the electronic total energy: -2.92 eV/atom.

Entry 8:
A relaxed Ba8Ag2Pt crystal, computed with GGA-PBE.

The structure belongs to space group C2/m (No. 12); the cell edges are 21.476, 5.827 and 7.942 Å and the angles 90.00°, 103.32° and 90.00°. The inequivalent atoms are Ba at (0.035, 0.000, 0.308), Ba at (0.085, 0.500, 0.906), Ba at (0.155, 0.500, 0.467), Ba at (0.214, 0.000, 0.825), Ag at (0.193, 0.000, 0.239) and Pt at (0.000, 0.500, 0.500).

The value obtained for the energy above the most stable polymorph in this dataset is 0.0639 eV/atom. As for the electronic total energy: -2.66 eV/atom.

Entry 9:
A relaxed BaAgPt4 crystal, computed with GGA-PBE.

The structure belongs to space group F-43m (No. 216); the cell edges are 7.807, 7.807 and 7.807 Å and the angles 90.00°, 90.00° and 90.00°. The inequivalent atoms are Ba at (0.000, 0.000, 0.000), Ag at (0.250, 0.250, 0.250) and Pt at (0.125, 0.125, 0.625).

As for the electronic total energy: -5.18 eV/atom.

Entry 10:
A relaxed Ba3AgPt crystal, computed with GGA-PBE.

The structure belongs to space group Pm (No. 6); the cell edges are 9.853, 4.587 and 9.865 Å and the angles 90.00°, 109.30° and 90.00°. The inequivalent atoms are Ba at (0.000, 0.000, 0.000), Ba at (0.027, 0.500, 0.602), Ba at (0.350, 0.500, 0.278), Ba at (0.377, 0.000, 0.881), Ba at (0.628, 0.000, 0.628), Ba at (0.749, 0.000, 0.252), Ag at (0.188, 0.000, 0.439), Ag at (0.688, 0.500, 0.940), Pt at (0.188, 0.500, 0.940) and Pt at (0.688, 0.500, 0.440).

The value obtained for the energy above the most stable polymorph in this dataset is 0.0000 eV/atom. As for the electronic total energy: -3.37 eV/atom.

Entry 11:
A relaxed BaAg2Pt crystal, computed with GGA-PBE.

The structure belongs to space group F-43m (No. 216); the cell edges are 7.316, 7.316 and 7.316 Å and the angles 90.00°, 90.00° and 90.00°. The inequivalent atoms are Ba at (0.000, 0.000, 0.000), Ag at (0.000, 0.000, 0.500), Ag at (0.250, 0.250, 0.750) and Pt at (0.250, 0.250, 0.250).

The value obtained for the energy above the most stable polymorph in this dataset is 0.2815 eV/atom. As for the electronic total energy: -3.45 eV/atom.

Entry 12:
A relaxed BaAg2Pt crystal, computed with GGA-PBE.

The structure belongs to space group P4mm (No. 99); the cell edges are 3.632, 3.632 and 7.277 Å and the angles 90.00°, 90.00° and 90.00°. The inequivalent atoms are Ba at (0.000, 0.000, 0.000), Ag at (0.000, 0.000, 0.465), Ag at (0.500, 0.500, 0.653) and Pt at (0.500, 0.500, 0.269).

The value obtained for the energy above the most stable polymorph in this dataset is 0.2123 eV/atom. As for the electronic total energy: -3.52 eV/atom.